RbNiOF2: optimized geometry, PBE with a Hubbard U.

- N(E_F) (states/eV per cell) = 1.676
- space-group type = P4/mmm, No. 123
- raw total energy (eV per cell) = -20.88

Unit cell a=4.267 b=4.267 c=3.840 alpha=90.00 beta=90.00 gamma=90.00
Atoms (fractional coordinates):
Rb (0.000, 0.000, 0.000)
Ni (0.500, 0.500, 0.500)
O (0.500, 0.500, 0.000)
F (0.000, 0.500, 0.500)
F (0.500, 0.000, 0.500)